Computed, not measured: an optimized crystal structure of Ba2HgPb at the GGA-PBE level of DFT.

Unit cell a=6.0935 b=6.0935 c=4.2227 alpha=90.00 beta=90.00 gamma=90.00
Last column: nearest neighbours and their distance in Å.
Positions (direct):
Ba (0.0000, 0.5000, 0.0000)  4 Pb 3.71, 4 Hg 3.71
Ba (0.5000, 0.0000, 0.0000)  4 Pb 3.71, 4 Hg 3.71
Hg (0.0000, 0.0000, 0.5000)  8 Ba 3.71
Pb (0.5000, 0.5000, 0.5000)  8 Ba 3.71

Space-group type = No. 123
Formation enthalpy at 0 K = -544 meV per atom
Total magnetic moment = 0.000 μB per atom
Polymorph energy (0 for the lowest one) = 50 meV/atom
Uncorrected energy = -10.0 eV per formula unit